[1]
A relaxed structure of ZrTl, computed with PBE.

a b c (Å): 6.420 6.420 5.323
angles (deg): 90.00 90.00 120.00
Fractional positions:
Zr1 0.333 0.667 0.500
Tl1 0.828 0.172 0.500
Tl2 0.344 0.172 0.500
Zr2 0.495 0.505 0.000
Tl3 0.828 0.656 0.500
Zr3 0.011 0.505 0.000
Tl4 0.000 0.000 0.000
Zr4 0.495 0.989 0.000

**VASP energy**: -5.360 eV per atom

[2]
A relaxed structure of ZrTl, computed with PBE.

a b c (Å): 4.164 4.164 4.164
angles (deg): 60.00 60.00 60.00
Fractional positions:
Zr1 0.500 0.500 0.500
Tl1 0.000 0.000 0.000

**VASP energy**: -5.211 eV per atom

| no. | total moment (μB/atom) |
| --- | --- |
| 1 | 0.00 |
| 2 | 0.00 |